# 1
Density functional theory data (PBE) for a geometry-optimized NiAs2Pb structure.

Properties
Calculated total energy = -4.193 eV/atom

a b c (Å): 6.787 6.787 6.787
angles (deg): 90.00 90.00 90.00
Space group F-43m (No. 216)
Symmetry-distinct sites (fractional):
Ni: 0.000 0.000 0.000 (multiplicity 4)
As: 0.000 0.000 0.500 (multiplicity 4)
As: 0.250 0.250 0.250 (multiplicity 4)
Pb: 0.250 0.250 0.750 (multiplicity 4)



# 2
Density functional theory data (PBE) for a geometry-optimized LuSnHgTe3 structure.

Properties
Calculated total energy = -3.627 eV/atom

a b c (Å): 4.280 15.389 12.079
angles (deg): 90.00 90.00 90.00
Space group Cmcm (No. 63)
Symmetry-distinct sites (fractional):
Lu: 0.000 0.000 0.000 (multiplicity 4)
Sn: 0.000 0.357 0.250 (multiplicity 4)
Hg: 0.000 0.294 0.750 (multiplicity 4)
Te: 0.000 0.005 0.750 (multiplicity 4)
Te: 0.000 0.362 0.507 (multiplicity 8)



# 3
Density functional theory data (PBE) for a geometry-optimized LiHoZnO3 structure.

Properties
Calculated total energy = -5.896 eV/atom

a b c (Å): 3.198 13.792 6.151
angles (deg): 90.00 90.00 90.00
Space group Cmcm (No. 63)
Symmetry-distinct sites (fractional):
Li: 0.000 0.165 0.250 (multiplicity 4)
Ho: 0.000 0.500 0.000 (multiplicity 4)
Zn: 0.000 0.183 0.750 (multiplicity 4)
O: 0.000 0.015 0.250 (multiplicity 4)
O: 0.000 0.339 0.023 (multiplicity 8)